{"formula": "CsCd2BiPt", "functional": "GGA-PBE", "state": "optimized geometry", "lattice": [[5.4091, 0.0000, 0.0000], [0.0000, 5.4091, 0.0000], [0.0000, 0.0000, 5.5489]], "species": ["Cs", "Cd", "Cd", "Bi", "Pt"], "fractional_positions": [[0.0000, 0.0000, 0.0000], [0.0000, 0.5000, 0.5000], [0.5000, 0.0000, 0.5000], [0.5000, 0.5000, 0.0000], [0.5000, 0.5000, 0.5000]], "e_tot_ev_per_atom": -2.6624, "crystal_system": "tetragonal", "space_group": "P4/mmm (123)", "dos_at_fermi_per_ev_fu": 3.70, "total_magnetization_mub_per_fu": 0.0, "e_form_ev_per_atom": -0.141}